(1)
Below is Sr2PmThBi4 after structural relaxation, with properties calculated at the PBE-GGA level.

Unit cell a=8.1188 b=4.6815 c=8.2933 alpha=90.00 beta=109.07 gamma=90.00
Closest atoms and distances in Å follow each position.
Space group P2/m (No. 10)
One atom of each set of equivalent atoms:
Sr: 0.0000 0.0000 0.0000  6 Bi 3.42-3.43
Sr: 0.5000 0.5000 0.0000  6 Bi 3.42
Pm: 0.0000 0.5000 0.5000  6 Bi 3.26
Th: 0.5000 0.0000 0.5000  6 Bi 3.26
Bi: 0.2442 0.0000 0.7317  2 Pm 3.26, 1 Th 3.26, 3 Sr 3.42-3.43
Bi: 0.2564 0.5000 0.2680  2 Th 3.26, 1 Pm 3.26, 3 Sr 3.42

ΔH_f (0 K) = -794 meV per atom
electronic total energy = -4.677 eV per atom

---

(2)
Below is SrPmZnBi after structural relaxation, with properties calculated at the PBE-GGA level.

Unit cell a=7.8369 b=7.8369 c=7.8369 alpha=90.00 beta=90.00 gamma=90.00
Closest atoms and distances in Å follow each position.
Space group F-43m (No. 216)
One atom of each set of equivalent atoms:
Sr: 0.0000 0.0000 0.0000  4 Bi 3.39, 4 Zn 3.39
Pm: 0.0000 0.0000 0.5000  4 Bi 3.39, 4 Zn 3.39
Zn: 0.2500 0.2500 0.7500  4 Pm 3.39, 4 Sr 3.39
Bi: 0.2500 0.2500 0.2500  4 Pm 3.39, 4 Sr 3.39

ΔH_f (0 K) = -411 meV per atom
electronic total energy = -3.308 eV per atom

---

(3)
Below is Pm2TaBi after structural relaxation, with properties calculated at the PBE-GGA level.

Unit cell a=5.0255 b=5.0255 c=4.3076 alpha=90.00 beta=90.00 gamma=90.00
Closest atoms and distances in Å follow each position.
Space group P4/mmm (No. 123)
One atom of each set of equivalent atoms:
Pm: 0.0000 0.5000 0.0000  4 Ta 3.31, 4 Bi 3.31, 4 Pm 3.55
Ta: 0.0000 0.0000 0.5000  8 Pm 3.31, 4 Bi 3.55
Bi: 0.5000 0.5000 0.5000  8 Pm 3.31, 4 Ta 3.55

ΔH_f (0 K) = 87 meV per atom
electronic total energy = -6.222 eV per atom

---

(4)
Below is PmTaBi2 after structural relaxation, with properties calculated at the PBE-GGA level.

Unit cell a=3.3309 b=3.3309 c=34.4901 alpha=90.00 beta=90.00 gamma=120.00
Closest atoms and distances in Å follow each position.
Space group R-3m (No. 166, hexagonal axes)
One atom of each set of equivalent atoms:
Pm: 0.0000 0.0000 0.0000  6 Pm 3.33, 6 Bi 3.40
Ta: 0.0000 0.0000 0.5000  2 Bi 2.94
Bi: 0.0000 0.0000 0.4148  1 Ta 2.94

ΔH_f (0 K) = 445 meV per atom
electronic total energy = -5.647 eV per atom
energy above the most stable polymorph in this dataset = 0.308 eV per atom

---

(5)
Below is PmTaBi2 after structural relaxation, with properties calculated at the PBE-GGA level.

Unit cell a=5.1763 b=5.1763 c=3.8684 alpha=90.00 beta=90.00 gamma=90.00
Closest atoms and distances in Å follow each position.
Space group P4/mmm (No. 123)
One atom of each set of equivalent atoms:
Pm: 0.0000 0.0000 0.0000  8 Bi 3.23
Ta: 0.5000 0.5000 0.0000  8 Bi 3.23
Bi: 0.0000 0.5000 0.5000  4 Ta 3.23, 4 Pm 3.23

ΔH_f (0 K) = 137 meV per atom
electronic total energy = -5.954 eV per atom
energy above the most stable polymorph in this dataset = 0.000 eV per atom

---

(6)
Below is Tb5Pm2Bi4 after structural relaxation, with properties calculated at the PBE-GGA level.

Unit cell a=18.9669 b=4.6826 c=8.8265 alpha=90.00 beta=108.32 gamma=90.00
Closest atoms and distances in Å follow each position.
Space group C2/m (No. 12)
One atom of each set of equivalent atoms:
Tb: 0.0000 0.0000 0.0000  6 Bi 3.09-3.30
Tb: 0.1086 0.5000 0.6625  4 Bi 3.10-3.26
Tb: 0.1775 0.0000 0.4293  2 Bi 3.31, 3 Pm 3.50-3.67, 4 Tb 3.53-3.62
Pm: 0.2018 0.5000 0.1545  4 Bi 3.14-3.34, 2 Tb 3.50
Bi: 0.0522 0.5000 0.2770  6 Tb 3.23-3.31, 1 Pm 3.34
Bi: 0.1435 0.0000 0.9052  3 Tb 3.09-3.10, 3 Pm 3.14-3.16

ΔH_f (0 K) = -486 meV per atom
electronic total energy = -4.866 eV per atom

---

(7)
Below is Tb2Pm2Bi5 after structural relaxation, with properties calculated at the PBE-GGA level.

Unit cell a=16.2482 b=8.3130 c=8.5127 alpha=90.00 beta=90.00 gamma=90.00
Closest atoms and distances in Å follow each position.
Space group Cmce (No. 64)
One atom of each set of equivalent atoms:
Tb: 0.0000 0.1552 0.1593  8 Bi 3.17-3.46
Pm: 0.1923 0.0000 0.5000  7 Bi 3.13-3.35
Bi: 0.0000 0.0000 0.5000  2 Pm 3.13, 4 Tb 3.17
Bi: 0.1385 0.1496 0.8506  3 Tb 3.22-3.46, 3 Pm 3.27-3.35, 1 Bi 3.56

ΔH_f (0 K) = -689 meV per atom
electronic total energy = -4.929 eV per atom

---

(8)
Below is Tb3Pm4Bi4 after structural relaxation, with properties calculated at the PBE-GGA level.

Unit cell a=4.1014 b=9.3345 c=18.3056 alpha=90.00 beta=90.00 gamma=90.00
Closest atoms and distances in Å follow each position.
Space group Immm (No. 71)
One atom of each set of equivalent atoms:
Tb: 0.0000 0.0000 0.0000  4 Bi 3.40
Tb: 0.0000 0.5000 0.0973  6 Bi 3.16-3.35
Pm: 0.0000 0.3233 0.3333  4 Bi 3.23-3.25, 1 Pm 3.30
Bi: 0.0000 0.0000 0.2711  2 Tb 3.16, 6 Pm 3.23-3.25
Bi: 0.0000 0.2097 0.5000  2 Pm 3.23, 6 Tb 3.35-3.40

ΔH_f (0 K) = -575 meV per atom
electronic total energy = -4.977 eV per atom